(1)
DFT (PBE) results for crystalline SrPm2Nd3S6 at its relaxed geometry.

abc: 7.0694 7.0694 7.0782
angles: 99.53 99.53 120.04
With the nearest neighbours (Å) after each atom.
Fractional positions:
Sr 0.0000 0.0000 0.0000  6 S 2.90-2.92
Pm 0.3331 0.6669 0.0000  6 S 2.87-2.88
Pm 0.6669 0.3331 0.0000  6 S 2.87-2.88
Nd 0.1643 0.8357 0.5000  6 S 2.88-2.89
Nd 0.5000 0.5000 0.5000  6 S 2.87-2.90
Nd 0.8357 0.1643 0.5000  6 S 2.88-2.89
S 0.0837 0.4212 0.2512  2 Pm 2.88, 3 Nd 2.88-2.90, 1 Sr 2.92
S 0.2552 0.2552 0.7532  2 Pm 2.87, 3 Nd 2.87-2.89, 1 Sr 2.90
S 0.4212 0.0837 0.2512  2 Pm 2.88, 3 Nd 2.88-2.90, 1 Sr 2.92
S 0.5788 0.9163 0.7488  2 Pm 2.88, 3 Nd 2.88-2.90, 1 Sr 2.92
S 0.7448 0.7448 0.2468  2 Pm 2.87, 3 Nd 2.87-2.89, 1 Sr 2.90
S 0.9163 0.5788 0.7488  2 Pm 2.88, 3 Nd 2.88-2.90, 1 Sr 2.92

Properties
Calculated volume, A^3/atom: 24.076
Formation energy without anion corrections, eV per formula unit: -24.325

---

(2)
DFT (PBE) results for crystalline SrPmNd2S4 at its relaxed geometry.

abc: 7.1127 4.0777 7.1177
angles: 90.00 109.10 90.00
With the nearest neighbours (Å) after each atom.
Fractional positions:
Sr 0.0000 0.0000 0.0000  6 S 2.92-2.93
Pm 0.5000 0.5000 0.0000  6 S 2.89
Nd 0.0000 0.5000 0.5000  6 S 2.91
Nd 0.5000 0.0000 0.5000  6 S 2.87-2.88
S 0.2537 0.0000 0.7506  3 Nd 2.88-2.91, 2 Pm 2.89, 1 Sr 2.92
S 0.2559 0.5000 0.2536  3 Nd 2.87-2.91, 1 Pm 2.89, 2 Sr 2.93
S 0.7441 0.5000 0.7464  3 Nd 2.87-2.91, 1 Pm 2.89, 2 Sr 2.93
S 0.7463 0.0000 0.2494  3 Nd 2.88-2.91, 2 Pm 2.89, 1 Sr 2.92

Properties
Calculated volume, A^3/atom: 24.384
Formation energy without anion corrections, eV per formula unit: -16.228

---

(3)
DFT (PBE) results for crystalline SrPm4NdS8 at its relaxed geometry.

abc: 8.3820 8.3820 8.3820
angles: 59.88 59.88 59.88
With the nearest neighbours (Å) after each atom.
Fractional positions:
Sr 0.0000 0.0000 0.0000  4 S 2.82-2.83
Pm 0.3730 0.3730 0.8799  6 S 2.79-2.89
Pm 0.3730 0.8799 0.3730  6 S 2.79-2.89
Pm 0.7496 0.7496 0.7496  4 S 2.72-2.73
Pm 0.8799 0.3730 0.3730  6 S 2.79-2.89
Nd 0.3730 0.3730 0.3730  6 S 2.81-2.91
S 0.1362 0.1362 0.5873  2 Pm 2.79, 1 Nd 2.81, 1 Sr 2.82
S 0.1362 0.5873 0.1362  2 Pm 2.79, 1 Nd 2.81, 1 Sr 2.82
S 0.1375 0.1375 0.1375  3 Pm 2.80, 1 Sr 2.83
S 0.1474 0.6181 0.6181  3 Pm 2.72-2.89, 1 Nd 2.91
S 0.5873 0.1362 0.1362  2 Pm 2.79, 1 Nd 2.81, 1 Sr 2.82
S 0.6169 0.6169 0.6169  4 Pm 2.73-2.89
S 0.6181 0.1474 0.6181  3 Pm 2.72-2.89, 1 Nd 2.91
S 0.6181 0.6181 0.1474  3 Pm 2.72-2.89, 1 Nd 2.91

Properties
Calculated volume, A^3/atom: 29.664
Formation energy without anion corrections, eV per formula unit: -27.662

---

(4)
DFT (PBE) results for crystalline SrPm2NdS4 at its relaxed geometry.

abc: 7.0982 4.0680 7.1009
angles: 90.00 109.10 90.00
With the nearest neighbours (Å) after each atom.
Fractional positions:
Sr 0.0000 0.0000 0.0000  6 S 2.92-2.93
Pm 0.5000 0.0000 0.5000  6 S 2.85-2.86
Pm 0.5000 0.5000 0.0000  6 S 2.88
Nd 0.0000 0.5000 0.5000  6 S 2.91
S 0.2547 0.0000 0.7496  3 Pm 2.86-2.88, 2 Nd 2.91, 1 Sr 2.92
S 0.2579 0.5000 0.2556  3 Pm 2.85-2.88, 1 Nd 2.91, 2 Sr 2.93
S 0.7421 0.5000 0.7444  3 Pm 2.85-2.88, 1 Nd 2.91, 2 Sr 2.93
S 0.7453 0.0000 0.2504  3 Pm 2.86-2.88, 2 Nd 2.91, 1 Sr 2.92

Properties
Calculated volume, A^3/atom: 24.219
Formation energy without anion corrections, eV per formula unit: -16.258

---

(5)
DFT (PBE) results for crystalline TbPm2NdS4 at its relaxed geometry.

abc: 6.9665 3.9806 6.9935
angles: 90.00 109.05 90.00
With the nearest neighbours (Å) after each atom.
Fractional positions:
Tb 0.0000 0.0000 0.0000  6 S 2.80
Pm 0.5000 0.0000 0.5000  6 S 2.88
Pm 0.5000 0.5000 0.0000  6 S 2.83
Nd 0.0000 0.5000 0.5000  6 S 2.85
S 0.2439 0.5000 0.2418  2 Tb 2.80, 3 Pm 2.83-2.88, 1 Nd 2.85
S 0.2486 0.0000 0.7558  1 Tb 2.80, 3 Pm 2.83-2.88, 2 Nd 2.85
S 0.7514 0.0000 0.2442  1 Tb 2.80, 3 Pm 2.83-2.88, 2 Nd 2.85
S 0.7561 0.5000 0.7582  2 Tb 2.80, 3 Pm 2.83-2.88, 1 Nd 2.85

Properties
Calculated volume, A^3/atom: 22.914
Formation energy without anion corrections, eV per formula unit: -16.169

---

(6)
DFT (PBE) results for crystalline Tb3Pm4NdS8 at its relaxed geometry.

abc: 8.0106 8.0106 8.0106
angles: 59.82 59.82 59.82
With the nearest neighbours (Å) after each atom.
Fractional positions:
Tb 0.0000 0.5000 0.5000  6 S 2.79
Tb 0.5000 0.0000 0.5000  6 S 2.79
Tb 0.5000 0.5000 0.0000  6 S 2.79
Pm 0.0000 0.0000 0.5000  6 S 2.87
Pm 0.0000 0.5000 0.0000  6 S 2.87
Pm 0.5000 0.0000 0.0000  6 S 2.87
Pm 0.5000 0.5000 0.5000  6 S 2.82
Nd 0.0000 0.0000 0.0000  6 S 2.84
S 0.2510 0.2510 0.7415  2 Tb 2.79, 3 Pm 2.82-2.87, 1 Nd 2.84
S 0.2510 0.7415 0.2510  2 Tb 2.79, 3 Pm 2.82-2.87, 1 Nd 2.84
S 0.2536 0.2536 0.2536  3 Tb 2.79, 3 Pm 2.87
S 0.2585 0.7490 0.7490  2 Tb 2.79, 3 Pm 2.82-2.87, 1 Nd 2.84
S 0.7415 0.2510 0.2510  2 Tb 2.79, 3 Pm 2.82-2.87, 1 Nd 2.84
S 0.7464 0.7464 0.7464  3 Tb 2.79, 3 Pm 2.87
S 0.7490 0.2585 0.7490  2 Tb 2.79, 3 Pm 2.82-2.87, 1 Nd 2.84
S 0.7490 0.7490 0.2585  2 Tb 2.79, 3 Pm 2.82-2.87, 1 Nd 2.84

Properties
Calculated volume, A^3/atom: 22.626
Formation energy without anion corrections, eV per formula unit: -32.294

---

(7)
DFT (PBE) results for crystalline TbPm3Nd3S8 at its relaxed geometry.

abc: 8.0826 8.0826 8.0826
angles: 59.89 59.89 59.89
With the nearest neighbours (Å) after each atom.
Fractional positions:
Tb 0.0000 0.0000 0.0000  6 S 2.79
Pm 0.0000 0.5000 0.5000  6 S 2.84
Pm 0.5000 0.0000 0.5000  6 S 2.84
Pm 0.5000 0.5000 0.0000  6 S 2.84
Nd 0.0000 0.0000 0.5000  6 S 2.87
Nd 0.0000 0.5000 0.0000  6 S 2.87
Nd 0.5000 0.0000 0.0000  6 S 2.87
S 0.2445 0.2445 0.7535  1 Tb 2.79, 2 Pm 2.84, 2 Nd 2.87
S 0.2445 0.7535 0.2445  1 Tb 2.79, 2 Pm 2.84, 2 Nd 2.87
S 0.2465 0.7555 0.7555  1 Tb 2.79, 2 Pm 2.84, 2 Nd 2.87
S 0.2510 0.2510 0.2510  3 Pm 2.84, 3 Nd 2.87
S 0.7490 0.7490 0.7490  3 Pm 2.84, 3 Nd 2.87
S 0.7535 0.2445 0.2445  1 Tb 2.79, 2 Pm 2.84, 2 Nd 2.87
S 0.7555 0.2465 0.7555  1 Tb 2.79, 2 Pm 2.84, 2 Nd 2.87
S 0.7555 0.7555 0.2465  1 Tb 2.79, 2 Pm 2.84, 2 Nd 2.87

Properties
Calculated volume, A^3/atom: 24.828
Formation energy without anion corrections, eV per formula unit: -30.853

---

(8)
DFT (PBE) results for crystalline Tb3PmNd4S8 at its relaxed geometry.

abc: 8.0532 8.0532 8.0532
angles: 59.57 59.57 59.57
With the nearest neighbours (Å) after each atom.
Fractional positions:
Tb 0.0000 0.5000 0.5000  6 S 2.78
Tb 0.5000 0.0000 0.5000  6 S 2.78
Tb 0.5000 0.5000 0.0000  6 S 2.78
Pm 0.0000 0.0000 0.0000  6 S 2.82
Nd 0.0000 0.0000 0.5000  6 S 2.89
Nd 0.0000 0.5000 0.0000  6 S 2.89
Nd 0.5000 0.0000 0.0000  6 S 2.89
Nd 0.5000 0.5000 0.5000  6 S 2.85
S 0.2488 0.2488 0.7415  2 Tb 2.78, 1 Pm 2.82, 3 Nd 2.85-2.89
S 0.2488 0.7415 0.2488  2 Tb 2.78, 1 Pm 2.82, 3 Nd 2.85-2.89
S 0.2548 0.2548 0.2548  3 Tb 2.78, 3 Nd 2.89
S 0.2585 0.7512 0.7512  2 Tb 2.78, 1 Pm 2.82, 3 Nd 2.85-2.89
S 0.7415 0.2488 0.2488  2 Tb 2.78, 1 Pm 2.82, 3 Nd 2.85-2.89
S 0.7452 0.7452 0.7452  3 Tb 2.78, 3 Nd 2.89
S 0.7512 0.2585 0.7512  2 Tb 2.78, 1 Pm 2.82, 3 Nd 2.85-2.89
S 0.7512 0.7512 0.2585  2 Tb 2.78, 1 Pm 2.82, 3 Nd 2.85-2.89

Properties
Calculated volume, A^3/atom: 22.856
Formation energy without anion corrections, eV per formula unit: -32.286

---

(9)
DFT (PBE) results for crystalline TbPm3Nd2S6 at its relaxed geometry.

abc: 6.9851 6.9851 6.9694
angles: 99.59 99.59 120.16
With the nearest neighbours (Å) after each atom.
Fractional positions:
Tb 0.0000 0.0000 0.0000  6 S 2.80
Pm 0.1701 0.8299 0.5000  6 S 2.83-2.87
Pm 0.5000 0.5000 0.5000  6 S 2.84-2.89
Pm 0.8299 0.1701 0.5000  6 S 2.83-2.87
Nd 0.3331 0.6669 0.0000  6 S 2.86-2.88
Nd 0.6669 0.3331 0.0000  6 S 2.86-2.88
S 0.0824 0.4081 0.2477  1 Tb 2.80, 3 Pm 2.83-2.87, 2 Nd 2.86
S 0.2420 0.2420 0.7494  1 Tb 2.80, 3 Pm 2.85-2.89, 2 Nd 2.88
S 0.4081 0.0824 0.2477  1 Tb 2.80, 3 Pm 2.83-2.87, 2 Nd 2.86
S 0.5919 0.9176 0.7523  1 Tb 2.80, 3 Pm 2.83-2.87, 2 Nd 2.86
S 0.7580 0.7580 0.2506  1 Tb 2.80, 3 Pm 2.85-2.89, 2 Nd 2.88
S 0.9176 0.5919 0.7523  1 Tb 2.80, 3 Pm 2.83-2.87, 2 Nd 2.86

Properties
Calculated volume, A^3/atom: 23.096
Formation energy without anion corrections, eV per formula unit: -24.353

---

(10)
DFT (PBE) results for crystalline TbPmNd2S4 at its relaxed geometry.

abc: 6.9762 3.9848 7.0206
angles: 90.00 108.98 90.00
With the nearest neighbours (Å) after each atom.
Fractional positions:
Tb 0.0000 0.0000 0.0000  6 S 2.79-2.80
Pm 0.5000 0.5000 0.0000  6 S 2.83-2.84
Nd 0.0000 0.5000 0.5000  6 S 2.86
Nd 0.5000 0.0000 0.5000  6 S 2.90
S 0.2417 0.5000 0.2396  2 Tb 2.79, 1 Pm 2.84, 3 Nd 2.86-2.90
S 0.2476 0.0000 0.7569  1 Tb 2.80, 2 Pm 2.83, 3 Nd 2.86-2.90
S 0.7524 0.0000 0.2431  1 Tb 2.80, 2 Pm 2.83, 3 Nd 2.86-2.90
S 0.7583 0.5000 0.7604  2 Tb 2.79, 1 Pm 2.84, 3 Nd 2.86-2.90

Properties
Calculated volume, A^3/atom: 23.069
Formation energy without anion corrections, eV per formula unit: -16.172

---

(11)
DFT (PBE) results for crystalline Tb3Pm3NdS8 at its relaxed geometry.

abc: 7.9720 7.9720 7.9720
angles: 59.77 59.77 59.77
With the nearest neighbours (Å) after each atom.
Fractional positions:
Tb 0.0000 0.5000 0.5000  6 S 2.78
Tb 0.5000 0.0000 0.5000  6 S 2.78
Tb 0.5000 0.5000 0.0000  6 S 2.78
Pm 0.0000 0.0000 0.5000  6 S 2.85
Pm 0.0000 0.5000 0.0000  6 S 2.85
Pm 0.5000 0.0000 0.0000  6 S 2.85
Nd 0.0000 0.0000 0.0000  6 S 2.86
S 0.2531 0.2531 0.2531  3 Tb 2.78, 3 Pm 2.85
S 0.2541 0.2541 0.7394  2 Tb 2.78, 2 Pm 2.85, 1 Nd 2.86
S 0.2541 0.7394 0.2541  2 Tb 2.78, 2 Pm 2.85, 1 Nd 2.86
S 0.2606 0.7459 0.7459  2 Tb 2.78, 2 Pm 2.85, 1 Nd 2.86
S 0.7394 0.2541 0.2541  2 Tb 2.78, 2 Pm 2.85, 1 Nd 2.86
S 0.7459 0.2606 0.7459  2 Tb 2.78, 2 Pm 2.85, 1 Nd 2.86
S 0.7459 0.7459 0.2606  2 Tb 2.78, 2 Pm 2.85, 1 Nd 2.86
S 0.7469 0.7469 0.7469  3 Tb 2.78, 3 Pm 2.85

Properties
Calculated volume, A^3/atom: 23.761
Formation energy without anion corrections, eV per formula unit: -30.708

---

(12)
DFT (PBE) results for crystalline Tb3PmNd2S6 at its relaxed geometry.

abc: 8.9383 8.9383 8.0472
angles: 103.68 103.68 25.64
With the nearest neighbours (Å) after each atom.
Fractional positions:
Tb 0.0000 0.0000 0.0000  6 S 2.77-2.79
Tb 0.3330 0.3330 0.6668  6 S 2.77-2.78
Tb 0.6670 0.6670 0.3332  6 S 2.77-2.78
Pm 0.0000 0.0000 0.5000  6 S 2.86-2.87
Nd 0.3332 0.3332 0.1665  6 S 2.87-2.88
Nd 0.6668 0.6668 0.8335  6 S 2.87-2.88
S 0.1637 0.1637 0.0909  3 Tb 2.77, 3 Nd 2.87-2.88
S 0.1687 0.1687 0.5751  3 Tb 2.77-2.78, 1 Pm 2.86, 2 Nd 2.88
S 0.4970 0.4970 0.7555  3 Tb 2.77-2.79, 2 Pm 2.87, 1 Nd 2.87
S 0.5030 0.5030 0.2445  3 Tb 2.77-2.79, 2 Pm 2.87, 1 Nd 2.87
S 0.8313 0.8313 0.4249  3 Tb 2.77-2.78, 1 Pm 2.86, 2 Nd 2.88
S 0.8363 0.8363 0.9091  3 Tb 2.77, 3 Nd 2.87-2.88

Properties
Calculated volume, A^3/atom: 22.494
Formation energy without anion corrections, eV per formula unit: -24.267

---

Question: Which of these has the highest calculated volume?
Answer: SrPm4NdS8

---

Question: Which value of calculated volume does entry 11 give?
Answer: 23.761 A^3/atom